# 1
Here is crystalline LiEuYZn at its relaxed geometry from Alexandria. Energies are from PBE.

Cell lengths 5.263, 5.263, 5.263 Å; angles 60.00, 60.00, 60.00 degrees
Fractional coordinates of all 4 atoms:
Li (0.000, 0.000, 0.000)
Eu (0.750, 0.750, 0.750)
Y (0.250, 0.250, 0.250)
Zn (0.500, 0.500, 0.500)

Output
Raw total energy, eV per atom: -5.0583
ΔE_f, kJ/mol of atoms: -7
Space-group type: F-43m (216)
Density of states at the Fermi level, states/eV/atom: 1.054
Volume, A^3/atom: 25.77

***

# 2
Here is crystalline SrIrRh2O8 at its relaxed geometry from Alexandria. Energies are from PBE.

Cell lengths 4.741, 6.582, 4.756 Å; angles 90.00, 92.16, 90.00 degrees
Fractional coordinates of all 12 atoms:
Sr (0.000, 0.000, 0.000)
Ir (0.000, 0.500, 0.000)
Rh (0.500, 0.255, 0.500)
Rh (0.500, 0.745, 0.500)
O (0.208, 0.290, 0.203)
O (0.208, 0.710, 0.203)
O (0.298, 0.500, 0.697)
O (0.332, 0.000, 0.662)
O (0.668, 0.000, 0.338)
O (0.702, 0.500, 0.303)
O (0.792, 0.290, 0.797)
O (0.792, 0.710, 0.797)

Output
Raw total energy, eV per atom: -6.3437
Space-group type: P2/m (10)
Density of states at the Fermi level, states/eV/atom: 0.701
Volume, A^3/atom: 12.36

***

# 3
Here is crystalline NdHfCu4 at its relaxed geometry from Alexandria. Energies are from PBE.

Cell lengths 5.194, 5.194, 5.194 Å; angles 60.00, 60.00, 60.00 degrees
Fractional coordinates of all 6 atoms:
Nd (0.000, 0.000, 0.000)
Hf (0.750, 0.750, 0.750)
Cu (0.376, 0.376, 0.376)
Cu (0.376, 0.376, 0.872)
Cu (0.376, 0.872, 0.376)
Cu (0.872, 0.376, 0.376)

Output
Raw total energy, eV per atom: -5.1876
ΔE_f, kJ/mol of atoms: 0
Space-group type: F-43m (216)
Density of states at the Fermi level, states/eV/atom: 0.757
Volume, A^3/atom: 16.51

***

# 4
Here is crystalline LiMg3Au2 at its relaxed geometry from Alexandria. Energies are from PBE.

Cell lengths 4.518, 8.527, 5.799 Å; angles 90.00, 90.00, 90.00 degrees
Fractional coordinates of all 12 atoms:
Li (0.000, 0.036, 0.000)
Li (0.000, 0.964, 0.500)
Mg (0.000, 0.308, 0.643)
Mg (0.000, 0.692, 0.143)
Mg (0.500, 0.175, 0.266)
Mg (0.500, 0.467, 0.916)
Mg (0.500, 0.533, 0.416)
Mg (0.500, 0.825, 0.766)
Au (0.000, 0.361, 0.171)
Au (0.000, 0.639, 0.671)
Au (0.500, 0.145, 0.752)
Au (0.500, 0.855, 0.252)

Output
Raw total energy, eV per atom: -2.7145
ΔE_f, kJ/mol of atoms: -49
Space-group type: Pmc2_1 (26)
Energy above the lowest structure with this stoichiometry, kcal/mol of atoms: 0.00
Density of states at the Fermi level, states/eV/atom: 0.244
Volume, A^3/atom: 18.62

***

# 5
Here is crystalline BaIr2Pb at its relaxed geometry from Alexandria. Energies are from PBE.

Cell lengths 5.784, 5.784, 5.784 Å; angles 136.44, 136.44, 63.30 degrees
Fractional coordinates of all 4 atoms:
Ba (0.000, 0.000, 0.000)
Ir (0.250, 0.750, 0.500)
Ir (0.500, 0.500, 0.000)
Pb (0.750, 0.250, 0.500)

Output
Raw total energy, eV per atom: -5.1951
ΔE_f, kJ/mol of atoms: 62
Space-group type: I-4m2 (119)
Energy above the lowest structure with this stoichiometry, kcal/mol of atoms: 18.12
Density of states at the Fermi level, states/eV/atom: 0.989
Volume, A^3/atom: 22.67

***

# 6
Here is crystalline Pr6Y2TmTh at its relaxed geometry from Alexandria. Energies are from PBE.

Cell lengths 8.967, 8.967, 9.617 Å; angles 93.36, 93.36, 115.11 degrees
Fractional coordinates of all 20 atoms:
Pr (0.003, 0.574, 0.192)
Pr (0.110, 0.765, 0.562)
Pr (0.235, 0.890, 0.938)
Pr (0.298, 0.522, 0.385)
Pr (0.426, 0.997, 0.308)
Pr (0.478, 0.702, 0.115)
Pr (0.522, 0.298, 0.885)
Pr (0.574, 0.003, 0.692)
Pr (0.702, 0.478, 0.615)
Pr (0.765, 0.110, 0.062)
Pr (0.890, 0.235, 0.438)
Pr (0.997, 0.426, 0.808)
Y (0.204, 0.292, 0.055)
Y (0.292, 0.204, 0.555)
Y (0.708, 0.796, 0.445)
Y (0.796, 0.708, 0.945)
Tm (0.410, 0.590, 0.750)
Tm (0.590, 0.410, 0.250)
Th (0.034, 0.966, 0.250)
Th (0.966, 0.034, 0.750)

Output
Raw total energy, eV per atom: -5.2056
ΔE_f, kJ/mol of atoms: 14
Space-group type: C2/c (15)
Density of states at the Fermi level, states/eV/atom: 1.410
Volume, A^3/atom: 34.80

***

# 7
Here is crystalline LiCa2TiO5 at its relaxed geometry from Alexandria. Energies are from PBE.

Cell lengths 6.466, 6.466, 9.320 Å; angles 90.00, 90.00, 148.09 degrees
Fractional coordinates of all 18 atoms:
Li (0.225, 0.775, 0.500)
Li (0.775, 0.225, 0.000)
Ca (0.128, 0.872, 0.169)
Ca (0.130, 0.870, 0.790)
Ca (0.870, 0.130, 0.290)
Ca (0.872, 0.128, 0.669)
Ti (0.449, 0.551, 0.983)
Ti (0.551, 0.449, 0.483)
O (0.044, 0.956, 0.546)
O (0.311, 0.689, 0.132)
O (0.316, 0.684, 0.865)
O (0.384, 0.616, 0.491)
O (0.484, 0.516, 0.781)
O (0.516, 0.484, 0.281)
O (0.616, 0.384, 0.991)
O (0.684, 0.316, 0.365)
O (0.689, 0.311, 0.632)
O (0.956, 0.044, 0.046)

Output
Raw total energy, eV per atom: -6.8967
Space-group type: Cmc2_1 (36)
Volume, A^3/atom: 11.44

***

# 8
Here is crystalline ZnBTeI2 at its relaxed geometry from Alexandria. Energies are from PBE.

Cell lengths 5.573, 5.573, 5.345 Å; angles 90.00, 90.00, 90.00 degrees
Fractional coordinates of all 5 atoms:
Zn (0.000, 0.000, 0.000)
B (0.500, 0.500, 0.500)
Te (0.000, 0.000, 0.500)
I (0.000, 0.500, 0.000)
I (0.500, 0.000, 0.000)

Output
Raw total energy, eV per atom: -1.7898
Space-group type: P4/mmm (123)
Energy above the lowest structure with this stoichiometry, kcal/mol of atoms: 7.38
Density of states at the Fermi level, states/eV/atom: 0.393
Volume, A^3/atom: 33.20

***

# 9
Here is crystalline AlSi2Ni3 at its relaxed geometry from Alexandria. Energies are from PBE.

Cell lengths 5.259, 5.259, 5.959 Å; angles 90.00, 90.00, 120.00 degrees
Fractional coordinates of all 12 atoms:
Al (0.333, 0.667, 0.370)
Al (0.667, 0.333, 0.630)
Si (0.000, 0.000, 0.000)
Si (0.000, 0.500, 0.000)
Si (0.500, 0.000, 0.000)
Si (0.500, 0.500, 0.000)
Ni (0.164, 0.328, 0.692)
Ni (0.164, 0.836, 0.692)
Ni (0.328, 0.164, 0.308)
Ni (0.672, 0.836, 0.692)
Ni (0.836, 0.164, 0.308)
Ni (0.836, 0.672, 0.308)

Output
Raw total energy, eV per atom: -5.6684
Space-group type: P-3m1 (164)
Energy above the lowest structure with this stoichiometry, kcal/mol of atoms: 2.83
Density of states at the Fermi level, states/eV/atom: 0.575
Volume, A^3/atom: 11.89

***

# 10
Here is crystalline Ti6GaNi at its relaxed geometry from Alexandria. Energies are from PBE.

Cell lengths 5.368, 5.368, 5.226 Å; angles 90.74, 90.74, 121.87 degrees
Fractional coordinates of all 8 atoms:
Ti (0.023, 0.023, 0.249)
Ti (0.101, 0.553, 0.755)
Ti (0.447, 0.899, 0.245)
Ti (0.553, 0.101, 0.755)
Ti (0.899, 0.447, 0.245)
Ti (0.977, 0.977, 0.751)
Ga (0.500, 0.500, 0.500)
Ni (0.500, 0.500, 0.000)

Output
Raw total energy, eV per atom: -7.0348
ΔE_f, kJ/mol of atoms: -1
Space-group type: C2/m (12)
Density of states at the Fermi level, states/eV/atom: 1.546
Volume, A^3/atom: 15.98

***

# 11
Here is crystalline Sr3SbP2Pd9 at its relaxed geometry from Alexandria. Energies are from PBE.

Cell lengths 6.424, 6.424, 9.048 Å; angles 90.00, 90.00, 120.00 degrees
Fractional coordinates of all 15 atoms:
Sr (0.000, 0.000, 0.000)
Sr (0.333, 0.667, 0.650)
Sr (0.667, 0.333, 0.350)
Sb (0.000, 0.000, 0.500)
P (0.333, 0.667, 0.159)
P (0.667, 0.333, 0.841)
Pd (0.000, 0.500, 0.000)
Pd (0.154, 0.309, 0.280)
Pd (0.154, 0.846, 0.280)
Pd (0.309, 0.154, 0.720)
Pd (0.500, 0.000, 0.000)
Pd (0.500, 0.500, 0.000)
Pd (0.691, 0.846, 0.280)
Pd (0.846, 0.154, 0.720)
Pd (0.846, 0.691, 0.720)

Output
Raw total energy, eV per atom: -5.1114
Space-group type: P-3m1 (164)
Density of states at the Fermi level, states/eV/atom: 0.468
Volume, A^3/atom: 21.56

***

# 12
Here is crystalline KRb2ClO at its relaxed geometry from Alexandria. Energies are from PBE.

Cell lengths 7.533, 7.533, 9.990 Å; angles 90.00, 90.00, 147.40 degrees
Fractional coordinates of all 10 atoms:
K (0.068, 0.932, 0.750)
K (0.932, 0.068, 0.250)
Rb (0.377, 0.623, 0.551)
Rb (0.377, 0.623, 0.949)
Rb (0.623, 0.377, 0.051)
Rb (0.623, 0.377, 0.449)
Cl (0.266, 0.734, 0.250)
Cl (0.734, 0.266, 0.750)
O (0.000, 0.000, 0.000)
O (0.000, 0.000, 0.500)

Output
Raw total energy, eV per atom: -3.3261
Space-group type: Cmcm (63)
Energy above the lowest structure with this stoichiometry, kcal/mol of atoms: 0.00
Volume, A^3/atom: 30.55

***

# 13
Here is crystalline Fe3TcAs at its relaxed geometry from Alexandria. Energies are from PBE.

Cell lengths 4.488, 4.488, 4.488 Å; angles 90.00, 90.00, 90.00 degrees
Fractional coordinates of all 5 atoms:
Fe (0.000, 0.000, 0.500)
Fe (0.000, 0.500, 0.000)
Fe (0.500, 0.000, 0.000)
Tc (0.000, 0.000, 0.000)
As (0.500, 0.500, 0.500)

Output
Raw total energy, eV per atom: -6.6324
ΔE_f, kJ/mol of atoms: 140
Space-group type: Pm-3m (221)
Energy above the lowest structure with this stoichiometry, kcal/mol of atoms: 9.16
Density of states at the Fermi level, states/eV/atom: 1.639
Volume, A^3/atom: 18.08

***

# 14
Here is crystalline Ca2CuPbAu at its relaxed geometry from Alexandria. Energies are from PBE.

Cell lengths 5.576, 5.576, 4.761 Å; angles 90.00, 90.00, 90.00 degrees
Fractional coordinates of all 5 atoms:
Ca (0.000, 0.500, 0.000)
Ca (0.500, 0.000, 0.000)
Cu (0.000, 0.000, 0.000)
Pb (0.000, 0.000, 0.500)
Au (0.500, 0.500, 0.500)

Output
Raw total energy, eV per atom: -3.1221
ΔE_f, kJ/mol of atoms: -10
Space-group type: P4/mmm (123)
Density of states at the Fermi level, states/eV/atom: 0.225
Volume, A^3/atom: 29.60

***

# 15
Here is crystalline TbY2Ga6 at its relaxed geometry from Alexandria. Energies are from PBE.

Cell lengths 7.842, 7.842, 7.842 Å; angles 148.09, 126.96, 63.25 degrees
Fractional coordinates of all 9 atoms:
Tb (0.000, 0.000, 0.000)
Y (0.374, 0.874, 0.500)
Y (0.626, 0.126, 0.500)
Ga (0.008, 0.316, 0.692)
Ga (0.311, 0.500, 0.811)
Ga (0.376, 0.684, 0.692)
Ga (0.624, 0.316, 0.308)
Ga (0.689, 0.500, 0.189)
Ga (0.992, 0.684, 0.308)

Output
Raw total energy, eV per atom: -4.4423
ΔE_f, kJ/mol of atoms: -46
Space-group type: Immm (71)
Energy above the lowest structure with this stoichiometry, kcal/mol of atoms: 4.18
Density of states at the Fermi level, states/eV/atom: 0.543
Volume, A^3/atom: 22.40

***

# 16
Here is crystalline MnSn2Ir at its relaxed geometry from Alexandria. Energies are from PBE.

Cell lengths 6.142, 6.142, 6.142 Å; angles 102.46, 102.46, 124.65 degrees
Fractional coordinates of all 8 atoms:
Mn (0.000, 0.000, 0.000)
Mn (0.750, 0.250, 0.500)
Sn (0.157, 0.625, 0.032)
Sn (0.375, 0.407, 0.532)
Sn (0.593, 0.125, 0.968)
Sn (0.875, 0.843, 0.468)
Ir (0.250, 0.750, 0.500)
Ir (0.500, 0.500, 0.000)

Output
Raw total energy, eV per atom: -6.1860
ΔE_f, kJ/mol of atoms: 31
Space-group type: I-42d (122)
Density of states at the Fermi level, states/eV/atom: 0.542
Volume, A^3/atom: 21.10

***

# 17
Here is crystalline CdGeP2 at its relaxed geometry from Alexandria. Energies are from PBE.

Cell lengths 5.592, 5.592, 6.135 Å; angles 111.62, 111.62, 91.51 degrees
Fractional coordinates of all 8 atoms:
Cd (0.082, 0.918, 0.750)
Cd (0.918, 0.082, 0.250)
Ge (0.473, 0.527, 0.250)
Ge (0.527, 0.473, 0.750)
P (0.151, 0.450, 0.838)
P (0.450, 0.151, 0.338)
P (0.550, 0.849, 0.662)
P (0.849, 0.550, 0.162)

Output
Raw total energy, eV per atom: -3.9701
ΔE_f, kJ/mol of atoms: 11
Space-group type: C2/c (15)
Energy above the lowest structure with this stoichiometry, kcal/mol of atoms: 4.94
Density of states at the Fermi level, states/eV/atom: 0.141
Volume, A^3/atom: 20.36

***

# 18
Here is crystalline GaSb2TePb at its relaxed geometry from Alexandria. Energies are from PBE.

Cell lengths 6.506, 6.506, 7.013 Å; angles 90.00, 90.00, 90.00 degrees
Fractional coordinates of all 5 atoms:
Ga (0.000, 0.000, 0.000)
Sb (0.000, 0.500, 0.500)
Sb (0.500, 0.000, 0.500)
Te (0.500, 0.500, 0.000)
Pb (0.500, 0.500, 0.500)

Output
Raw total energy, eV per atom: -2.5769
Space-group type: P4/mmm (123)
Energy above the lowest structure with this stoichiometry, kcal/mol of atoms: 11.46
Density of states at the Fermi level, states/eV/atom: 1.576
Volume, A^3/atom: 59.36

***

# 19
Here is crystalline LaRuC2 at its relaxed geometry from Alexandria. Energies are from PBE.

Cell lengths 4.473, 5.477, 5.997 Å; angles 103.73, 105.27, 110.50 degrees
Fractional coordinates of all 8 atoms:
La (0.000, 0.000, 0.000)
La (0.468, 0.277, 0.655)
Ru (0.480, 0.726, 0.294)
Ru (0.873, 0.477, 0.355)
C (0.155, 0.514, 0.925)
C (0.185, 0.612, 0.735)
C (0.379, 0.768, 0.625)
C (0.664, 0.091, 0.292)

Output
Raw total energy, eV per atom: -8.1320
ΔE_f, kJ/mol of atoms: 3
Space-group type: P1 (1)
Energy above the lowest structure with this stoichiometry, kcal/mol of atoms: 4.32
Density of states at the Fermi level, states/eV/atom: 0.314
Volume, A^3/atom: 15.45

***

# 20
Here is crystalline Pr6HC2Br3 at its relaxed geometry from Alexandria. Energies are from PBE.

Cell lengths 6.685, 6.685, 7.802 Å; angles 98.30, 98.30, 119.89 degrees
Fractional coordinates of all 12 atoms:
Pr (0.089, 0.438, 0.813)
Pr (0.213, 0.213, 0.188)
Pr (0.438, 0.089, 0.813)
Pr (0.562, 0.911, 0.187)
Pr (0.787, 0.787, 0.812)
Pr (0.911, 0.562, 0.187)
H (0.500, 0.500, 0.000)
C (0.166, 0.834, 0.000)
C (0.834, 0.166, 0.000)
Br (0.000, 0.000, 0.500)
Br (0.332, 0.668, 0.500)
Br (0.668, 0.332, 0.500)

Output
Raw total energy, eV per atom: -5.4240
Space-group type: C2/m (12)
Density of states at the Fermi level, states/eV/atom: 0.485
Volume, A^3/atom: 24.12